No. 1
A relaxed structure of NaIn2Ag5. Source: Alexandria, functional PBE-GGA.

The space group is I4/mmm (No. 139) and the conventional cell measures 6.575, 6.575 and 7.324 Å, with angles of 90.00, 90.00 and 90.00 degrees. The asymmetric unit holds Na at (0.000, 0.000, 0.000), In at (0.000, 0.500, 0.000), Ag at (0.000, 0.000, 0.500) and Ag at (0.250, 0.250, 0.250).

The density of states at the Fermi level is 2.87 states/eV/f.u. As for the density: 8.3 g/cm3. As for the formation energy from the elements: -0.008 eV per atom. The energy above the most stable polymorph in this dataset comes out at 4 meV/atom.

***

No. 2
A relaxed structure of Na3In2Ag3. Source: Alexandria, functional PBE-GGA.

The space group is R-3m (No. 166, hexagonal axes) and the conventional cell measures 5.6815, 5.6815 and 21.0629 Å, with angles of 90.00, 90.00 and 120.00 degrees. The asymmetric unit holds Na at (0.0000, 0.0000, 0.0000), Na at (0.0000, 0.0000, 0.4265), In at (0.0000, 0.0000, 0.2827) and Ag at (0.0000, 0.5000, 0.5000).

The density of states at the Fermi level is 2.99 states/eV/f.u. As for the density: 5.3 g/cm3. As for the formation energy from the elements: -0.058 eV per atom.

***

No. 3
A relaxed structure of Na2In7Ag12. Source: Alexandria, functional PBE-GGA.

The space group is P-3 (No. 147) and the conventional cell measures 12.7716, 12.7716 and 3.0553 Å, with angles of 90.00, 90.00 and 120.00 degrees. The asymmetric unit holds Na at (0.3333, 0.6667, 0.2396), In at (0.0000, 0.0000, 0.5000), In at (0.1397, 0.7172, 0.7330), Ag at (0.0655, 0.2412, 0.2243) and Ag at (0.0795, 0.4632, 0.7518).

The density of states at the Fermi level is 8.53 states/eV/f.u. As for the density: 8.2 g/cm3. As for the formation energy from the elements: -0.014 eV per atom.

***

No. 4
A relaxed structure of Na2In2Ag. Source: Alexandria, functional PBE-GGA.

The space group is P4/mbm (No. 127) and the conventional cell measures 7.487, 7.487 and 4.725 Å, with angles of 90.00, 90.00 and 90.00 degrees. The asymmetric unit holds Na at (0.141, 0.359, 0.000), In at (0.169, 0.669, 0.500) and Ag at (0.000, 0.000, 0.000).

The density of states at the Fermi level is 2.01 states/eV/f.u. As for the density: 4.8 g/cm3. As for the formation energy from the elements: 0.139 eV per atom. The energy above the most stable polymorph in this dataset comes out at 220 meV/atom.

***

No. 5
A relaxed structure of Na2In3Ag5. Source: Alexandria, functional PBE-GGA.

The space group is Ibam (No. 72) and the conventional cell measures 12.016, 12.854 and 6.236 Å, with angles of 90.00, 90.00 and 90.00 degrees. The asymmetric unit holds Na at (0.124, 0.249, 0.000), In at (0.000, 0.000, 0.250), In at (0.128, 0.359, 0.500), Ag at (0.000, 0.500, 0.250), Ag at (0.126, 0.148, 0.500) and Ag at (0.246, 0.000, 0.250).

The density of states at the Fermi level is 3.41 states/eV/f.u. As for the density: 6.4 g/cm3. As for the formation energy from the elements: 0.005 eV per atom. The energy above the most stable polymorph in this dataset comes out at 46 meV/atom.

***

No. 6
A relaxed structure of NaIn4Ag4. Source: Alexandria, functional PBE-GGA.

The space group is P4_2/nmc (No. 137, origin choice 2) and the conventional cell measures 6.479, 6.479 and 10.045 Å, with angles of 90.00, 90.00 and 90.00 degrees. The asymmetric unit holds Na at (0.250, 0.750, 0.250), In at (0.014, 0.250, 0.034) and Ag at (0.034, 0.250, 0.319).

The density of states at the Fermi level is 3.81 states/eV/f.u. As for the density: 7.2 g/cm3. As for the formation energy from the elements: -0.007 eV per atom. The energy above the most stable polymorph in this dataset comes out at 0 meV/atom.